DFT (GGA-PBE) results for crystalline Ta2CoSe at its relaxed geometry.

Cell lengths 3.108, 4.444, 8.971 Å; angles 90.00, 90.00, 90.00 degrees
Space group Imm2 (No. 44)
Symmetry-distinct sites (fractional):
Ta (0.000, 0.000, 0.000)
Ta (0.000, 0.500, 0.215)
Co (0.000, 0.000, 0.460)
Se (0.000, 0.500, 0.754)

Output
Theoretical density = 13.4 g cm⁻³
Formation energy from raw total energies = -3 meV per atom
Energy = -8.58 eV per atom

---

DFT (GGA-PBE) results for crystalline YCrOs2 at its relaxed geometry.

Cell lengths 2.953, 4.734, 9.310 Å; angles 90.00, 90.00, 90.00 degrees
Space group Immm (No. 71)
Symmetry-distinct sites (fractional):
Y (0.000, 0.000, 0.000)
Cr (0.000, 0.000, 0.500)
Os (0.000, 0.500, 0.218)

Output
Formation energy from the elements = 330 meV/atom
Theoretical density = 13.3 g cm⁻³
Polymorph energy (0 for the lowest one) = 186.6 meV/atom
Energy = -9.31 eV per atom